No. 1
Density functional theory data (PBE-GGA) for an optimized crystal structure of MnZn2CuC.

Values from the calculation:
- Energy of formation from the pure elements: 8.23 eV per formula unit
- ρ: 4.69 g cm⁻³
- Total magnetic moment: 3.16 Bohr magnetons per cell
- DFT total energy: -16.81 eV per formula unit

```
MnZn2CuC
1.0
-0.140 2.177 -3.872
-3.671 -2.593 -1.326
-2.758 2.994 1.783
Cu Zn C Mn
1 2 1 1
Direct
0.000 0.000 0.000
0.000 0.000 0.500
0.500 0.000 0.000
0.500 0.500 0.500
0.000 0.500 0.000
```

No. 2
Density functional theory data (PBE-GGA) for an optimized crystal structure of PuCuAgS3.

Values from the calculation:
- ρ: 6.13 g cm⁻³
- Uncorrected formation energy: -773.8 meV/atom
- Total magnetic moment: 8.07 Bohr magnetons per cell
- DFT total energy: -38.30 eV per formula unit

```
PuCuAgS3
1.0
-2.699 1.056 -2.696
0.473 -6.575 -3.050
-7.212 -0.560 7.001
Cu S Ag Pu
2 6 2 2
Direct
0.750 0.927 0.410
0.250 0.073 0.590
0.750 0.430 0.128
0.250 0.570 0.872
0.750 0.231 0.571
0.250 0.769 0.429
0.250 0.040 0.819
0.750 0.960 0.181
0.250 0.173 0.101
0.750 0.827 0.899
0.750 0.303 0.842
0.250 0.697 0.158
```

No. 3
Density functional theory data (PBE-GGA) for an optimized crystal structure of ErInCoAu.

Values from the calculation:
- Energy of formation from the pure elements: -1.29 eV per formula unit
- ρ: 11.64 g cm⁻³
- Total magnetic moment: 1.34 Bohr magnetons per cell
- DFT total energy: -18.98 eV per formula unit

```
ErInCoAu
1.0
-3.342 -0.250 -3.394
0.853 -2.432 -4.013
-2.263 -4.118 -0.820
Au In Co Er
1 1 1 1
Direct
0.250 0.250 0.250
0.000 0.000 0.000
0.750 0.750 0.750
0.500 0.500 0.500
```

No. 4
Density functional theory data (PBE-GGA) for an optimized crystal structure of PuScPb.

Values from the calculation:
- Energy of formation from the pure elements: -0.60 eV per formula unit
- ρ: 10.47 g cm⁻³
- Total magnetic moment: 13.03 Bohr magnetons per cell
- DFT total energy: -24.98 eV per formula unit
- Energy above the most stable polymorph in this dataset: 86 meV per atom

```
PuScPb
1.0
4.510 0.000 -0.046
0.000 4.840 0.000
-2.180 0.000 7.233
Pu Pb Sc
2 2 2
Direct
0.071 0.750 0.141
0.929 0.250 0.859
0.390 0.750 0.781
0.610 0.250 0.219
0.249 0.250 0.498
0.751 0.750 0.502
```

no.,N(E_F) (states/eV/f.u.)
1,2.93
2,7.57
3,2.45
4,7.43